Entry 1:
The following is a DFT calculation (PBE-GGA) of PmCuIO6 after structural relaxation.

a b c (Å): 5.0192 5.2588 5.2588
angles (deg): 120.00 90.00 90.00
Last column: nearest neighbours and their distance in Å.
Atoms (fractional coordinates):
O: 0.2836 0.3061 0.2894  1 I 1.91, 1 Cu 2.10
O: 0.2836 0.9834 0.6939  1 I 1.91, 1 Cu 2.10
O: 0.7164 0.3061 0.0166  1 I 1.91, 1 Cu 2.10
O: 0.7164 0.9834 0.2894  1 I 1.91, 1 Cu 2.10
O: 0.2836 0.7106 0.0166  1 I 1.91, 1 Cu 2.10
O: 0.7164 0.7106 0.6939  1 I 1.91, 1 Cu 2.10
I: 0.5000 0.0000 0.0000  6 O 1.91
Pm: 0.0000 0.3333 0.6667  6 O 2.39
Cu: 0.5000 0.6667 0.3333  6 O 2.10

space-group type = P312, No. 149
ρ = 5.96 g/cm³
volume = 120.2 Å³/cell

***

Entry 2:
The following is a DFT calculation (PBE-GGA) of PmCuI2O8 after structural relaxation.

a b c (Å): 6.2317 6.2317 6.2317
angles (deg): 107.91 107.91 112.65
Last column: nearest neighbours and their distance in Å.
Atoms (fractional coordinates):
O: 0.5022 0.6896 0.8126  1 I 1.90
O: 0.8771 0.6896 0.1874  1 I 1.90
O: 0.3696 0.0643 0.3053  1 I 1.92
O: 0.3104 0.4978 0.1874  1 I 1.90
O: 0.7590 0.0643 0.6947  1 I 1.92
O: 0.9357 0.6304 0.6947  1 I 1.92
O: 0.9357 0.2410 0.3053  1 I 1.92
O: 0.3104 0.1229 0.8126  1 I 1.90
I: 0.7500 0.2500 0.5000  4 O 1.92
I: 0.5000 0.5000 0.0000  4 O 1.90
Pm: 0.2500 0.7500 0.5000  8 O 2.33-2.60
Cu: 0.0000 0.0000 0.0000  8 O 2.28-2.55

space-group type = I-4m2, No. 119
ρ = 5.27 g/cm³
volume = 185.9 Å³/cell

***

Entry 3:
The following is a DFT calculation (PBE-GGA) of CuPtIO2 after structural relaxation.

a b c (Å): 3.7494 3.7494 7.0158
angles (deg): 90.00 90.00 90.00
Last column: nearest neighbours and their distance in Å.
Atoms (fractional coordinates):
O: 0.5000 0.0000 0.0000  2 Cu 1.87
O: 0.0000 0.5000 0.0000  2 Cu 1.87
Cu: 0.0000 0.0000 0.0000  4 O 1.87
I: 0.0000 0.0000 0.5000  4 Pt 2.65
Pt: 0.5000 0.5000 0.5000  4 I 2.65

relative energy among the computed polymorphs = 0.375 eV/atom
space-group type = P4/mmm, No. 123
ρ = 7.03 g/cm³
volume = 98.6 Å³/cell

***

Entry 4:
The following is a DFT calculation (PBE-GGA) of CuPtIO2 after structural relaxation.

a b c (Å): 3.7826 3.7826 8.3017
angles (deg): 90.00 90.00 90.00
Last column: nearest neighbours and their distance in Å.
Atoms (fractional coordinates):
Cu: 0.5000 0.5000 0.5000  4 I 2.67
I: 0.0000 0.0000 0.5000  4 Cu 2.67
O: 0.0000 0.5000 0.0000  2 Pt 1.89
O: 0.5000 0.0000 0.0000  2 Pt 1.89
Pt: 0.0000 0.0000 0.0000  4 O 1.89

relative energy among the computed polymorphs = 0.000 eV/atom
space-group type = P4/mmm, No. 123
ρ = 5.84 g/cm³
volume = 118.8 Å³/cell

***

Computed formation energy without anion corrections (eV per formula unit) in order:
-11.2, -8.7, 2.0, 0.1
Computed N(E_F) (states/eV/f.u.) in order:
5.4, 4.1, 7.0, 2.0